## i
DFT (PBE) results for a relaxed NbAgPd3 crystal.

Cell lengths 4.837, 4.837, 4.837 Å; angles 90.00, 90.00, 90.00 degrees
Positions (direct):
Nb1 0.000 0.000 0.000
Ag1 0.500 0.500 0.500
Pd1 0.000 0.000 0.500
Pd2 0.000 0.500 0.000
Pd3 0.500 0.000 0.000

## ii
DFT (PBE) results for a relaxed NbAgPd3 crystal.

Cell lengths 4.998, 5.666, 6.302 Å; angles 78.12, 74.52, 72.35 degrees
Positions (direct):
Nb1 0.215 0.276 0.100
Nb2 0.785 0.724 0.900
Ag1 0.397 0.602 0.696
Ag2 0.603 0.398 0.304
Pd1 0.000 0.000 0.500
Pd2 0.000 0.500 0.500
Pd3 0.191 0.786 0.101
Pd4 0.406 0.094 0.714
Pd5 0.594 0.906 0.286
Pd6 0.809 0.214 0.899

Which is the most stable structure? ii is the most stable.

## i
DFT (PBE) results for a relaxed NbAgPd crystal.

Cell lengths 3.195, 3.468, 9.339 Å; angles 90.10, 90.00, 90.12 degrees
Positions (direct):
Nb1 0.249 0.251 0.090
Nb2 0.751 0.749 0.910
Ag1 0.250 0.250 0.416
Ag2 0.750 0.750 0.584
Pd1 0.251 0.249 0.760
Pd2 0.749 0.751 0.240

## ii
DFT (PBE) results for a relaxed NbAgPd crystal.

Cell lengths 6.551, 6.551, 6.551 Å; angles 154.80, 154.80, 35.94 degrees
Positions (direct):
Nb1 0.000 0.000 0.000
Ag1 0.323 0.323 0.000
Pd1 0.655 0.655 0.000

Which is the most stable structure? i is the most stable.

## i
DFT (PBE) results for a relaxed NbAgPd2 crystal.

Cell lengths 5.824, 5.824, 5.824 Å; angles 103.47, 103.47, 122.29 degrees
Positions (direct):
Nb1 0.000 0.000 0.000
Nb2 0.750 0.250 0.500
Ag1 0.250 0.750 0.500
Ag2 0.500 0.500 0.000
Pd1 0.106 0.625 0.981
Pd2 0.375 0.356 0.481
Pd3 0.644 0.125 0.019
Pd4 0.875 0.894 0.519

## ii
DFT (PBE) results for a relaxed NbAgPd2 crystal.

Cell lengths 2.902, 2.902, 7.883 Å; angles 90.00, 90.00, 90.00 degrees
Positions (direct):
Nb1 0.000 0.000 0.000
Ag1 0.000 0.000 0.500
Pd1 0.500 0.500 0.242
Pd2 0.500 0.500 0.758

## iii
DFT (PBE) results for a relaxed NbAgPd2 crystal.

Cell lengths 9.434, 9.434, 9.434 Å; angles 17.57, 17.57, 17.57 degrees
Positions (direct):
Nb1 0.000 0.000 0.000
Ag1 0.500 0.500 0.500
Pd1 0.253 0.253 0.253
Pd2 0.747 0.747 0.747

## iv
DFT (PBE) results for a relaxed NbAgPd2 crystal.

Cell lengths 4.544, 4.544, 4.544 Å; angles 60.00, 60.00, 60.00 degrees
Positions (direct):
Nb1 0.000 0.000 0.000
Ag1 0.500 0.500 0.500
Pd1 0.250 0.250 0.250
Pd2 0.750 0.750 0.750

Which is the most stable structure? ii is the most stable.

## i
DFT (PBE) results for a relaxed Nb3AgPd crystal.

Cell lengths 4.856, 4.856, 4.856 Å; angles 90.00, 90.00, 90.00 degrees
Positions (direct):
Nb1 0.000 0.000 0.500
Nb2 0.000 0.500 0.000
Nb3 0.500 0.000 0.000
Ag1 0.500 0.500 0.500
Pd1 0.000 0.000 0.000

## ii
DFT (PBE) results for a relaxed Nb3AgPd crystal.

Cell lengths 4.884, 4.884, 4.884 Å; angles 90.00, 90.00, 90.00 degrees
Positions (direct):
Nb1 0.000 0.000 0.500
Nb2 0.000 0.500 0.000
Nb3 0.500 0.000 0.000
Ag1 0.000 0.000 0.000
Pd1 0.500 0.500 0.500

Which is the most stable structure? i is the most stable.

## i
DFT (PBE) results for a relaxed NbAg2Pd crystal.

Cell lengths 5.949, 5.949, 5.949 Å; angles 101.77, 101.77, 126.31 degrees
Positions (direct):
Nb1 0.000 0.000 0.000
Nb2 0.750 0.250 0.500
Ag1 0.134 0.625 0.009
Ag2 0.375 0.384 0.509
Ag3 0.616 0.125 0.991
Ag4 0.875 0.866 0.491
Pd1 0.250 0.750 0.500
Pd2 0.500 0.500 0.000

## ii
DFT (PBE) results for a relaxed NbAg2Pd crystal.

Cell lengths 4.591, 4.591, 4.591 Å; angles 60.00, 60.00, 60.00 degrees
Positions (direct):
Nb1 0.000 0.000 0.000
Ag1 0.250 0.250 0.250
Ag2 0.750 0.750 0.750
Pd1 0.500 0.500 0.500

Which is the most stable structure? ii is the most stable.

## i
DFT (PBE) results for a relaxed Nb3AgPt crystal.

Cell lengths 4.904, 4.904, 4.904 Å; angles 90.00, 90.00, 90.00 degrees
Positions (direct):
Nb1 0.000 0.000 0.500
Nb2 0.000 0.500 0.000
Nb3 0.500 0.000 0.000
Ag1 0.500 0.500 0.500
Pt1 0.000 0.000 0.000

## ii
DFT (PBE) results for a relaxed Nb3AgPt crystal.

Cell lengths 4.843, 4.843, 4.843 Å; angles 90.00, 90.00, 90.00 degrees
Positions (direct):
Nb1 0.000 0.000 0.500
Nb2 0.000 0.500 0.000
Nb3 0.500 0.000 0.000
Ag1 0.000 0.000 0.000
Pt1 0.500 0.500 0.500

Which is the most stable structure? i is the most stable.

## i
DFT (PBE) results for a relaxed NbAg3Pt crystal.

Cell lengths 5.014, 5.014, 5.014 Å; angles 90.00, 90.00, 90.00 degrees
Positions (direct):
Nb1 0.000 0.000 0.000
Ag1 0.000 0.500 0.500
Ag2 0.500 0.000 0.500
Ag3 0.500 0.500 0.000
Pt1 0.500 0.500 0.500

## ii
DFT (PBE) results for a relaxed NbAg3Pt crystal.

Cell lengths 5.040, 5.040, 5.040 Å; angles 90.00, 90.00, 90.00 degrees
Positions (direct):
Nb1 0.000 0.000 0.000
Ag1 0.000 0.000 0.500
Ag2 0.000 0.500 0.000
Ag3 0.500 0.000 0.000
Pt1 0.500 0.500 0.500

Which is the most stable structure? i is the most stable.

## i
DFT (PBE) results for a relaxed NbAgRh3 crystal.

Cell lengths 4.714, 4.714, 4.714 Å; angles 90.00, 90.00, 90.00 degrees
Positions (direct):
Nb1 0.000 0.000 0.000
Ag1 0.500 0.500 0.500
Rh1 0.000 0.000 0.500
Rh2 0.000 0.500 0.000
Rh3 0.500 0.000 0.000

## ii
DFT (PBE) results for a relaxed NbAgRh3 crystal.

Cell lengths 4.684, 4.684, 4.684 Å; angles 90.00, 90.00, 90.00 degrees
Positions (direct):
Nb1 0.000 0.000 0.000
Ag1 0.500 0.500 0.500
Rh1 0.000 0.500 0.500
Rh2 0.500 0.000 0.500
Rh3 0.500 0.500 0.000

Which is the most stable structure? i is the most stable.